# Cd2ReIr (PBE-GGA, relaxed)
data_Cd2ReIr
_cell_length_a 4.8447
_cell_length_b 4.8447
_cell_length_c 2.9324
_cell_angle_alpha 90.00
_cell_angle_beta 90.00
_cell_angle_gamma 90.00
_space_group_name_H-M_alt 'P 4/m m m'
_space_group_IT_number 123
_space_group_name_Hall '-P 4 2'
loop_
_atom_site_label
_atom_site_fract_x
_atom_site_fract_y
_atom_site_fract_z
Cd1 0.0000 0.5000 0.0000
Re1 0.0000 0.0000 0.5000
Ir1 0.5000 0.5000 0.5000
# **Energy relative to the lowest polymorph listed for this composition**: 692 meV per atom
# **Crystal system**: tetragonal

# CdReIr4 (PBE-GGA, relaxed)
data_CdReIr4
_cell_length_a 7.3195
_cell_length_b 7.3195
_cell_length_c 7.3195
_cell_angle_alpha 90.00
_cell_angle_beta 90.00
_cell_angle_gamma 90.00
_space_group_name_H-M_alt 'F -4 3 m'
_space_group_IT_number 216
_space_group_name_Hall 'F -4 2 3'
loop_
_atom_site_label
_atom_site_fract_x
_atom_site_fract_y
_atom_site_fract_z
Cd1 0.0000 0.0000 0.0000
Re1 0.2500 0.2500 0.2500
Ir1 0.1253 0.1253 0.6253
# **Crystal system**: cubic

# Cd2ReIr (PBE-GGA, relaxed)
data_Cd2ReIr
_cell_length_a 7.6525
_cell_length_b 7.6525
_cell_length_c 5.2318
_cell_angle_alpha 90.00
_cell_angle_beta 90.00
_cell_angle_gamma 90.00
_space_group_name_H-M_alt 'I -4 2 d'
_space_group_IT_number 122
_space_group_name_Hall 'I -4 2bw'
loop_
_atom_site_label
_atom_site_fract_x
_atom_site_fract_y
_atom_site_fract_z
Cd1 0.2408 0.2500 0.1250
Re1 0.0000 0.0000 0.5000
Ir1 0.0000 0.0000 0.0000
# **Energy relative to the lowest polymorph listed for this composition**: 965 meV per atom
# **Crystal system**: tetragonal

# CdRe4Ir (PBE-GGA, relaxed)
data_CdRe4Ir
_cell_length_a 7.3593
_cell_length_b 7.3593
_cell_length_c 7.3593
_cell_angle_alpha 90.00
_cell_angle_beta 90.00
_cell_angle_gamma 90.00
_space_group_name_H-M_alt 'F -4 3 m'
_space_group_IT_number 216
_space_group_name_Hall 'F -4 2 3'
loop_
_atom_site_label
_atom_site_fract_x
_atom_site_fract_y
_atom_site_fract_z
Cd1 0.0000 0.0000 0.0000
Re1 0.1251 0.1251 0.3749
Ir1 0.2500 0.2500 0.7500
# **Crystal system**: cubic

# CdRe3Ir (PBE-GGA, relaxed)
data_CdRe3Ir
_cell_length_a 4.7526
_cell_length_b 4.7526
_cell_length_c 4.7526
_cell_angle_alpha 90.00
_cell_angle_beta 90.00
_cell_angle_gamma 90.00
_space_group_name_H-M_alt 'P m -3 m'
_space_group_IT_number 221
_space_group_name_Hall '-P 4 2 3'
loop_
_atom_site_label
_atom_site_fract_x
_atom_site_fract_y
_atom_site_fract_z
Cd1 0.0000 0.0000 0.0000
Re1 0.0000 0.5000 0.5000
Ir1 0.5000 0.5000 0.5000
# **Energy relative to the lowest polymorph listed for this composition**: 0 meV per atom
# **Crystal system**: cubic

# Cd2ReIr (PBE-GGA, relaxed)
data_Cd2ReIr
_cell_length_a 2.7880
_cell_length_b 2.7880
_cell_length_c 8.8542
_cell_angle_alpha 90.00
_cell_angle_beta 90.00
_cell_angle_gamma 90.00
_space_group_name_H-M_alt 'P 4/m m m'
_space_group_IT_number 123
_space_group_name_Hall '-P 4 2'
loop_
_atom_site_label
_atom_site_fract_x
_atom_site_fract_y
_atom_site_fract_z
Cd1 0.0000 0.0000 0.2406
Re1 0.5000 0.5000 0.5000
Ir1 0.5000 0.5000 0.0000
# **Energy relative to the lowest polymorph listed for this composition**: 491 meV per atom
# **Crystal system**: tetragonal

# CdReIr2 (PBE-GGA, relaxed)
data_CdReIr2
_cell_length_a 2.8220
_cell_length_b 2.8220
_cell_length_c 7.9697
_cell_angle_alpha 90.00
_cell_angle_beta 90.00
_cell_angle_gamma 90.00
_space_group_name_H-M_alt 'P 4/m m m'
_space_group_IT_number 123
_space_group_name_Hall '-P 4 2'
loop_
_atom_site_label
_atom_site_fract_x
_atom_site_fract_y
_atom_site_fract_z
Cd1 0.0000 0.0000 0.0000
Re1 0.0000 0.0000 0.5000
Ir1 0.5000 0.5000 0.2749
# **Crystal system**: tetragonal

# CdReIr (PBE-GGA, relaxed)
data_CdReIr
_cell_length_a 4.5379
_cell_length_b 4.5379
_cell_length_c 2.7822
_cell_angle_alpha 90.00
_cell_angle_beta 90.00
_cell_angle_gamma 120.00
_space_group_name_H-M_alt 'P -6 m 2'
_space_group_IT_number 187
_space_group_name_Hall 'P -6 2'
loop_
_atom_site_label
_atom_site_fract_x
_atom_site_fract_y
_atom_site_fract_z
Cd1 0.0000 0.0000 0.0000
Re1 0.6667 0.3333 0.5000
Ir1 0.3333 0.6667 0.5000
# **Energy relative to the lowest polymorph listed for this composition**: 325 meV per atom
# **Crystal system**: hexagonal

# Cd2ReIr (PBE-GGA, relaxed)
data_Cd2ReIr
_cell_length_a 2.8718
_cell_length_b 4.8274
_cell_length_c 9.8947
_cell_angle_alpha 90.00
_cell_angle_beta 90.00
_cell_angle_gamma 90.00
_space_group_name_H-M_alt 'I m m m'
_space_group_IT_number 71
_space_group_name_Hall '-I 2 2'
loop_
_atom_site_label
_atom_site_fract_x
_atom_site_fract_y
_atom_site_fract_z
Cd1 0.0000 0.0000 0.2437
Re1 0.0000 0.5000 0.0000
Ir1 0.0000 0.5000 0.5000
# **Energy relative to the lowest polymorph listed for this composition**: 404 meV per atom
# **Crystal system**: orthorhombic

# CdReIr2 (PBE-GGA, relaxed)
data_CdReIr2
_cell_length_a 9.4238
_cell_length_b 2.8021
_cell_length_c 4.8616
_cell_angle_alpha 90.00
_cell_angle_beta 100.39
_cell_angle_gamma 90.00
_space_group_name_H-M_alt 'C 1 m 1'
_space_group_IT_number 8
_space_group_name_Hall 'C -2y'
loop_
_atom_site_label
_atom_site_fract_x
_atom_site_fract_y
_atom_site_fract_z
Cd1 0.0000 0.0000 0.0000
Re1 0.2660 0.5000 0.3098
Ir1 0.0049 0.5000 0.4930
Ir2 0.2432 0.0000 0.7832
# **Crystal system**: monoclinic

# CdReIr (PBE-GGA, relaxed)
data_CdReIr
_cell_length_a 2.8162
_cell_length_b 2.8162
_cell_length_c 7.1325
_cell_angle_alpha 90.00
_cell_angle_beta 90.00
_cell_angle_gamma 120.00
_space_group_name_H-M_alt 'P 3 m 1'
_space_group_IT_number 156
_space_group_name_Hall 'P 3 -2"'
loop_
_atom_site_label
_atom_site_fract_x
_atom_site_fract_y
_atom_site_fract_z
Cd1 0.0000 0.0000 0.0000
Re1 0.6667 0.3333 0.6433
Ir1 0.3333 0.6667 0.3522
# **Energy relative to the lowest polymorph listed for this composition**: 66 meV per atom
# **Crystal system**: trigonal

# CdReIr2 (PBE-GGA, relaxed)
data_CdReIr2
_cell_length_a 2.8006
_cell_length_b 2.8006
_cell_length_c 28.0109
_cell_angle_alpha 90.00
_cell_angle_beta 90.00
_cell_angle_gamma 120.00
_space_group_name_H-M_alt 'R 3 m'
_space_group_IT_number 160
_space_group_name_Hall 'R 3 -2"'
loop_
_atom_site_label
_atom_site_fract_x
_atom_site_fract_y
_atom_site_fract_z
Cd1 0.0000 0.0000 0.0000
Re1 0.0000 0.0000 0.2426
Ir1 0.0000 0.0000 0.5016
Ir2 0.0000 0.0000 0.7537
# **Crystal system**: trigonal

no.,energy of formation (meV/atom)
1,789.8
2,552.1
3,1062.2
4,627.4
5,2102.8
6,588.7
7,-84.8
8,457.8
9,501.4
10,211.0
11,199.3
12,196.6